Record 1
This record from Alexandria via LeMat-Bulk describes an optimized crystal structure of MnCuNi2. The functional is GGA-PBEsol.

Calculated values
Total DFT energy (no corrections) in eV per cell: -52.72
Energy of formation from the pure elements in meV per atom: 13

Cell: 3.487 3.487 7.233 Å, 90.00 90.00 90.00°
Space group I-4m2 (No. 119)
Inequivalent atoms, fractional coordinates:
Mn 0.000 0.000 0.000 x2
Cu 0.000 0.500 0.250 x2
Ni 0.000 0.000 0.500 x2
Ni 0.000 0.500 0.750 x2

---

Record 2
This record from Alexandria via LeMat-Bulk describes an optimized crystal structure of Mn3ZnN. The functional is GGA-PBEsol.

Calculated values
Raw formation energy in eV per atom: -0.26
Total DFT energy (no corrections) in eV per cell: -40.71

Cell: 3.731 3.731 3.731 Å, 90.00 90.00 90.00°
Space group Pm-3m (No. 221)
Inequivalent atoms, fractional coordinates:
Mn 0.000 0.000 0.500 x3
Zn 0.500 0.500 0.500 x1
N 0.000 0.000 0.000 x1

---

Record 3
This record from Alexandria via LeMat-Bulk describes an optimized crystal structure of Cd3BRh. The functional is GGA-PBEsol.

Calculated values
Total DFT energy (no corrections) in eV per cell: -15.58
Energy of formation from the pure elements in meV per atom: 633

Cell: 4.377 4.377 4.377 Å, 90.00 90.00 90.00°
Space group Pm-3m (No. 221)
Inequivalent atoms, fractional coordinates:
Cd 0.000 0.000 0.500 x3
B 0.000 0.000 0.000 x1
Rh 0.500 0.500 0.500 x1

---

Record 4
This record from Alexandria via LeMat-Bulk describes an optimized crystal structure of Ba2CuPb. The functional is GGA-PBEsol.

Calculated values
Total DFT energy (no corrections) in eV per cell: -12.54
Energy of formation from the pure elements in meV per atom: 24

Cell: 4.881 4.881 6.883 Å, 90.00 90.00 90.00°
Space group P4/mmm (No. 123)
Inequivalent atoms, fractional coordinates:
Ba 0.000 0.000 0.000 x1
Ba 0.500 0.500 0.500 x1
Cu 0.000 0.000 0.500 x1
Pb 0.500 0.500 0.000 x1